#a
DFT (GGA-PBE) results for a geometry-optimized Ti4Bi structure.

Results
Space group   Pm-3m

Unit cell a=5.080 b=5.080 c=5.080 alpha=90.00 beta=90.00 gamma=90.00
Fractional coordinates of all 5 atoms:
Bi 0.500 0.500 0.500
Ti 0.000 0.000 0.000
Ti 0.500 0.000 0.500
Ti 0.000 0.500 0.500
Ti 0.500 0.500 0.000

---

#b
DFT (GGA-PBE) results for a geometry-optimized Ti4Bi structure.

Results
Space group   I4_1/a

Unit cell a=5.806 b=5.806 c=7.341 alpha=113.30 beta=113.30 gamma=90.00
Fractional coordinates of all 10 atoms:
Ti 0.035 0.866 0.346
Ti 0.229 0.285 0.846
Ti 0.715 0.384 0.154
Ti 0.134 0.689 0.654
Ti 0.616 0.561 0.846
Ti 0.439 0.771 0.154
Ti 0.521 0.965 0.654
Ti 0.311 0.479 0.346
Bi 0.750 0.250 0.500
Bi 0.000 0.000 0.000

---

#c
DFT (GGA-PBE) results for a geometry-optimized Ti4Bi structure.

Results
Space group   Immm

Unit cell a=4.709 b=6.734 c=6.008 alpha=90.00 beta=90.00 gamma=90.00
Fractional coordinates of all 10 atoms:
Ti 0.000 0.184 0.500
Ti 0.500 0.316 0.000
Ti 0.000 0.816 0.500
Ti 0.500 0.684 0.000
Ti 0.000 0.500 0.792
Ti 0.500 0.000 0.292
Ti 0.000 0.500 0.208
Ti 0.500 0.000 0.708
Bi 0.000 0.000 0.000
Bi 0.500 0.500 0.500

---

Each structure's energy above the most stable one, in meV per atom: #a 1234; #b 0; #c 120.